Entry 1:
Nd3Er3Te2Pt: optimized geometry, PBE.

Lattice parameters (Å, degrees): 8.4665 8.4665 4.0580 90.00 90.00 120.00
Closest atoms and distances in Å follow each position.
Atoms (fractional coordinates):
1 Te 0.3333 0.6667 0.5000  6 Nd 3.28, 3 Er 3.30
2 Er 0.0000 0.2390 0.5000  2 Pt 2.87
3 Te 0.6667 0.3333 0.5000  6 Nd 3.28, 3 Er 3.30
4 Pt 0.0000 0.0000 0.0000  6 Er 2.87
5 Nd 0.0000 0.5954 0.0000  4 Te 3.28, 1 Pt 3.43, 6 Er 3.61-3.64
6 Nd 0.5954 0.0000 0.0000  4 Te 3.28, 1 Pt 3.43, 6 Er 3.61-3.64
7 Nd 0.4046 0.4046 0.0000  4 Te 3.28, 1 Pt 3.43, 6 Er 3.61-3.64
8 Er 0.7610 0.7610 0.5000  2 Pt 2.87
9 Er 0.2390 0.0000 0.5000  2 Pt 2.87

***

Entry 2:
Nd3Er3Te2Pt: optimized geometry, PBE.

Lattice parameters (Å, degrees): 8.6082 8.6082 3.9436 90.00 90.00 120.00
Closest atoms and distances in Å follow each position.
Atoms (fractional coordinates):
1 Nd 0.2517 0.0000 0.5000  2 Pt 2.93, 2 Te 3.28
2 Nd 0.7483 0.7483 0.5000  2 Pt 2.93, 2 Te 3.28
3 Pt 0.0000 0.0000 0.0000  6 Nd 2.93
4 Te 0.6667 0.3333 0.5000  3 Nd 3.28, 6 Er 3.28
5 Nd 0.0000 0.2517 0.5000  2 Pt 2.93, 2 Te 3.28
6 Er 0.4032 0.4032 0.0000  4 Te 3.28, 1 Pt 3.47, 6 Nd 3.57-3.62
7 Te 0.3333 0.6667 0.5000  3 Nd 3.28, 6 Er 3.28
8 Er 0.5968 0.0000 0.0000  4 Te 3.28, 1 Pt 3.47, 6 Nd 3.57-3.62
9 Er 0.0000 0.5968 0.0000  4 Te 3.28, 1 Pt 3.47, 6 Nd 3.57-3.62

***

Entry 3:
NdErPu: optimized geometry, PBE.

Results
The formation energy from the elements is 780 meV/atom.

Lattice parameters (Å, degrees): 5.3105 5.3105 5.3105 60.00 60.00 60.00
Closest atoms and distances in Å follow each position.
Atoms (fractional coordinates):
1 Pu 0.0000 0.0000 0.0000  4 Nd 3.25, 4 Er 3.25
2 Er 0.2500 0.2500 0.2500  4 Pu 3.25
3 Nd 0.7500 0.7500 0.7500  4 Pu 3.25

***

Calculated total energy / eV/atom: -5.442, -5.296, -7.038